Record 1
First-principles (PBE) data for a geometry-optimized NdHoGaN3 structure, as listed in Alexandria.

The structure in POSCAR format:
```
NdHoGaN3
1.0
-2.5417 2.0837 1.0412
-4.2981 -5.7807 1.0763
3.0758 0.2683 6.9713
Nd Ho Ga N
2 2 2 6
direct
0.2500 0.1751 0.1851
0.7500 0.8249 0.8149
0.2500 0.6386 0.1542
0.7500 0.3614 0.8458
0.2500 0.1063 0.6036
0.7500 0.8937 0.3964
0.7500 0.8703 0.1415
0.2500 0.1297 0.8585
0.2500 0.8309 0.5058
0.7500 0.1691 0.4942
0.7500 0.4034 0.1419
0.2500 0.5966 0.8581
```

## Properties
* SG: P2_1/m, No. 11
* V: 15.82 Å³ per atom
* E: -7.200 eV/atom
* energy relative to the elements, uncorrected: -0.98 eV/atom

Record 2
First-principles (PBE) data for a geometry-optimized K2MgHgI6 structure, as listed in Alexandria.

The structure in POSCAR format:
```
K2MgHgI6
1.0
6.9739 0.0096 -0.6229
3.4405 7.5607 1.0421
2.9073 4.1086 10.2820
K Mg Hg I
2 1 1 6
direct
0.4642 0.5036 0.4997
0.1405 0.9677 0.8882
0.6862 0.8652 0.6051
0.3087 0.2183 0.2646
0.7213 0.1825 0.3443
0.4059 0.9692 0.1622
0.0536 0.5909 0.2233
0.2780 0.8987 0.5859
0.6625 0.9723 0.7962
0.9407 0.4933 0.6456
```

## Properties
* SG: P1, No. 1
* V: 51.69 Å³ per atom
* E: -2.315 eV/atom
* energy relative to the elements, uncorrected: -0.98 eV/atom